(1)
{
  "formula": "AcPmMgNi",
  "functional": "PBE",
  "state": "relaxed",
  "energy_ev_per_atom": -4.048,
  "total_magnetization_mub_per_fu": 0.0,
  "delta_e_f_kcal_per_mol_atoms": 0.24,
  "lattice": [[0.000, 3.793, 3.793], [3.793, 0.000, 3.793], [3.793, 3.793, 0.000]],
  "species": ["Ac", "Pm", "Mg", "Ni"],
  "frac_coords": [[0.000, 0.000, 0.000], [0.500, 0.500, 0.500], [0.250, 0.250, 0.250], [0.750, 0.750, 0.750]]
}

(2)
{
  "formula": "CeP3Ru4",
  "functional": "PBE",
  "state": "relaxed",
  "energy_ev_per_atom": -8.216,
  "total_magnetization_mub_per_fu": 0.0,
  "delta_e_f_kcal_per_mol_atoms": -18.64,
  "lattice": [[4.050, 0.000, 0.000], [0.000, 4.050, 0.000], [0.000, 0.000, 7.591]],
  "species": ["Ce", "P", "P", "P", "Ru", "Ru", "Ru", "Ru"],
  "frac_coords": [[0.000, 0.000, 0.000], [0.000, 0.000, 0.500], [0.500, 0.500, 0.169], [0.500, 0.500, 0.831], [0.000, 0.500, 0.315], [0.000, 0.500, 0.685], [0.500, 0.000, 0.315], [0.500, 0.000, 0.685]]
}

(3)
{
  "formula": "Al2CdFe",
  "functional": "PBE",
  "state": "relaxed",
  "energy_ev_per_atom": -4.127,
  "total_magnetization_mub_per_fu": 1.2,
  "delta_e_f_kcal_per_mol_atoms": 2.05,
  "lattice": [[-1.725, 2.065, 4.299], [1.725, -2.065, 4.299], [1.725, 2.065, -4.299]],
  "species": ["Al", "Al", "Cd", "Fe"],
  "frac_coords": [[0.000, 0.000, 0.000], [0.732, 0.232, 0.500], [0.468, 0.468, 0.000], [0.217, 0.717, 0.500]]
}